A plane-wave DFT calculation with PBE-GGA was carried out for crystalline Na2Hf2MnSe6 at its relaxed geometry.

Geometry as POSCAR:
```
Na2Hf2MnSe6
1.0
-1.116 5.089 4.213
0.080 -6.313 2.244
7.349 0.931 -0.925
Na Hf Mn Se
2 2 1 6
direct
0.835 0.165 0.000
0.165 0.835 0.000
0.333 0.667 0.500
0.667 0.333 0.500
0.000 0.000 0.500
0.734 0.734 0.713
0.071 0.410 0.715
0.266 0.266 0.287
0.410 0.071 0.715
0.929 0.590 0.285
0.590 0.929 0.285
```

Computed properties:
Final energy: -5.941 eV per atom
ΔE_f (raw): -1156.9 meV/atom
Space group: No. 12

A plane-wave DFT calculation with PBE-GGA was carried out for crystalline CaSc2TiFe at its relaxed geometry.

Geometry as POSCAR:
```
CaSc2TiFe
1.0
-1.859 2.399 -3.730
1.247 -3.995 -3.192
-4.286 -2.011 0.843
Sc Ca Fe Ti
2 1 1 1
direct
0.000 0.000 0.500
0.500 0.000 0.000
0.000 0.500 0.000
0.000 0.000 0.000
0.500 0.500 0.500
```

Computed properties:
Final energy: -5.684 eV per atom
DFT formation energy: 0.520 eV/atom
Space group: No. 123

A plane-wave DFT calculation with PBE-GGA was carried out for crystalline MoRuPb at its relaxed geometry.

Geometry as POSCAR:
```
MoRuPb
1.0
5.259 0.058 -0.017
2.967 4.343 0.017
-3.838 -2.714 2.359
Mo Pb Ru
1 1 1
direct
0.018 0.018 0.000
0.332 0.332 0.000
0.650 0.650 0.000
```

Computed properties:
Final energy: -7.381 eV per atom
DFT formation energy: 0.557 eV/atom
Space group: No. 44

A plane-wave DFT calculation with PBE-GGA was carried out for crystalline KIr3 at its relaxed geometry.

Geometry as POSCAR:
```
KIr3
1.0
5.619 -0.001 -0.004
-2.612 4.975 -0.004
-2.612 -4.320 2.467
Ir K
3 1
direct
0.000 0.000 0.000
0.500 0.000 0.500
0.500 0.500 0.000
0.000 0.500 0.500
```

Computed properties:
Final energy: -5.815 eV per atom
DFT formation energy: 1.105 eV/atom
E above lowest polymorph: 612 meV per atom
Space group: No. 166

A plane-wave DFT calculation with PBE-GGA was carried out for crystalline Cs5HAu2 at its relaxed geometry.

Geometry as POSCAR:
```
Cs5HAu2
1.0
5.619 0.000 0.000
0.000 16.595 0.000
0.000 0.000 19.170
Cs H Au
20 4 8
direct
0.250 0.750 0.870
0.750 0.250 0.130
0.750 0.750 0.370
0.250 0.250 0.630
0.250 0.507 0.347
0.750 0.493 0.653
0.750 0.993 0.847
0.250 0.007 0.153
0.250 0.704 0.529
0.750 0.296 0.471
0.750 0.796 0.029
0.250 0.204 0.971
0.750 0.762 0.710
0.250 0.238 0.290
0.250 0.738 0.210
0.750 0.262 0.790
0.250 0.985 0.601
0.750 0.015 0.399
0.750 0.515 0.101
0.250 0.485 0.899
0.750 0.813 0.863
0.250 0.187 0.137
0.250 0.687 0.363
0.750 0.313 0.637
0.250 0.647 0.036
0.750 0.353 0.964
0.750 0.853 0.536
0.250 0.147 0.464
0.250 0.121 0.784
0.750 0.879 0.216
0.750 0.379 0.284
0.250 0.621 0.716
```

Computed properties:
Final energy: -1.947 eV per atom
E above lowest polymorph: 0 meV per atom
Space group: No. 62

A plane-wave DFT calculation with PBE-GGA was carried out for crystalline Rb4CePb3O12 at its relaxed geometry.

Geometry as POSCAR:
```
Rb4CePb3O12
1.0
-0.812 -5.185 -5.565
5.174 -2.479 5.060
-6.713 1.038 3.517
Rb Ce Pb O
4 1 3 12
direct
0.500 0.500 0.500
0.000 0.000 0.500
0.500 0.000 0.000
0.000 0.500 0.000
0.000 0.000 0.000
0.500 0.000 0.500
0.500 0.500 0.000
0.000 0.500 0.500
0.250 0.500 0.750
0.747 0.000 0.747
0.253 0.000 0.253
0.750 0.500 0.250
0.747 0.747 0.000
0.253 0.253 0.000
0.750 0.250 0.500
0.250 0.750 0.500
0.500 0.250 0.750
0.000 0.747 0.747
0.500 0.750 0.250
0.000 0.253 0.253
```

Computed properties:
Final energy: -5.205 eV per atom
ΔE_f (raw): -1183.7 meV/atom
Space group: No. 229